# 1
Na5SnAs3 after structural relaxation. Source: Alexandria, functional PBE.

Geometry as POSCAR:
```
Na5SnAs3
1.0
7.651 -3.435 0.000
7.651 3.435 0.000
-3.068 0.000 9.281
Na Sn As
10 2 6
direct
0.076 0.589 0.908 Na
0.088 0.587 0.432 Na
0.247 0.753 0.750 Na
0.411 0.924 0.592 Na
0.413 0.912 0.068 Na
0.587 0.088 0.932 Na
0.589 0.076 0.408 Na
0.753 0.247 0.250 Na
0.912 0.413 0.568 Na
0.924 0.411 0.092 Na
0.250 0.750 0.250 Sn
0.750 0.250 0.750 Sn
0.116 0.192 0.821 As
0.192 0.116 0.321 As
0.500 0.500 0.000 As
0.500 0.500 0.500 As
0.808 0.884 0.679 As
0.884 0.808 0.179 As
```

Properties
M_tot (μB per cell): 0.0
E_form (meV/atom): -351
ΔE to the lowest computed polymorph (eV/atom): 0.074
Symmetry: C2/c, No. 15
DOS(E_F) (states/eV/cell): 12.2

---

# 2
NaSnAs3 after structural relaxation. Source: Alexandria, functional PBE.

Geometry as POSCAR:
```
NaSnAs3
1.0
5.056 0.000 0.000
0.000 5.056 0.000
0.000 0.000 5.056
Na Sn As
1 1 3
direct
0.000 0.000 0.000 Na
0.500 0.500 0.500 Sn
0.000 0.000 0.500 As
0.000 0.500 0.000 As
0.500 0.000 0.000 As
```

Properties
M_tot (μB per cell): 0.0
E_form (meV/atom): 877
ΔE to the lowest computed polymorph (eV/atom): 0.327
Symmetry: Pm-3m, No. 221
DOS(E_F) (states/eV/cell): 4.0

---

# 3
NaSn2As after structural relaxation. Source: Alexandria, functional PBE.

Geometry as POSCAR:
```
NaSn2As
1.0
5.017 0.000 0.000
0.000 3.278 0.000
-2.497 0.000 6.703
Na Sn As
1 2 1
direct
0.000 0.000 0.000 Na
0.289 0.000 0.575 Sn
0.688 0.500 0.374 Sn
0.477 0.500 0.955 As
```

Properties
M_tot (μB per cell): 0.0
E_form (meV/atom): -92
Symmetry: Pm, No. 6
DOS(E_F) (states/eV/cell): 1.3